Entry 1:
SrNdGaSn | PBE | relaxed

Geometry as CIF:
```
data_SrNdGaSn
_chemical_formula_sum 'Sr4 Nd4 Ga4 Sn4'
_space_group_name_H-M_alt 'F -4 3 m'
_space_group_IT_number 216
_space_group_name_Hall 'F -4 2 3'
_cell_length_a 7.767
_cell_length_b 7.767
_cell_length_c 7.767
_cell_angle_alpha 90.00
_cell_angle_beta 90.00
_cell_angle_gamma 90.00
loop_
_atom_site_label
_atom_site_fract_x
_atom_site_fract_y
_atom_site_fract_z
_atom_site_occupancy
Sr1 0.000 0.000 0.000 1
Nd1 0.000 0.000 0.500 1
Ga1 0.250 0.250 0.250 1
Sn1 0.250 0.250 0.750 1
```

Values from the calculation:
density of states at the Fermi level = 0.693 states/eV per atom
electronic total energy = -61.58 eV per cell
ΔH_f (0 K) = -0.479 eV/atom

---

Entry 2:
TbNdGaSn | PBE | relaxed

Geometry as CIF:
```
data_TbNdGaSn
_chemical_formula_sum 'Tb4 Nd4 Ga4 Sn4'
_space_group_name_H-M_alt 'F -4 3 m'
_space_group_IT_number 216
_space_group_name_Hall 'F -4 2 3'
_cell_length_a 7.510
_cell_length_b 7.510
_cell_length_c 7.510
_cell_angle_alpha 90.00
_cell_angle_beta 90.00
_cell_angle_gamma 90.00
loop_
_atom_site_label
_atom_site_fract_x
_atom_site_fract_y
_atom_site_fract_z
_atom_site_occupancy
Tb1 0.000 0.000 0.000 1
Nd1 0.000 0.000 0.500 1
Ga1 0.250 0.250 0.750 1
Sn1 0.250 0.250 0.250 1
```

Values from the calculation:
density of states at the Fermi level = 0.666 states/eV per atom
electronic total energy = -74.58 eV per cell
ΔH_f (0 K) = -0.554 eV/atom

---

Entry 3:
TbNdGaSn | PBE | relaxed

Geometry as CIF:
```
data_TbNdGaSn
_chemical_formula_sum 'Tb2 Nd2 Ga2 Sn2'
_space_group_name_H-M_alt 'A m m 2'
_space_group_IT_number 38
_cell_length_a 4.221
_cell_length_b 4.552
_cell_length_c 11.390
_cell_angle_alpha 90.00
_cell_angle_beta 90.00
_cell_angle_gamma 90.00
loop_
_space_group_symop_operation_xyz
'x,y,z'
'-x,-y,z'
'-x,y,z'
'x,-y,z'
'x,y+1/2,z+1/2'
'-x,-y+1/2,z+1/2'
'-x,y+1/2,z+1/2'
'x,-y+1/2,z+1/2'
loop_
_atom_site_label
_atom_site_fract_x
_atom_site_fract_y
_atom_site_fract_z
_atom_site_occupancy
Tb1 0.000 0.000 0.000 1
Nd1 0.500 0.000 0.721 1
Ga1 0.000 0.000 0.274 1
Sn1 0.500 0.000 0.437 1
```

Values from the calculation:
density of states at the Fermi level = 0.947 states/eV per atom
electronic total energy = -38.50 eV per cell
ΔH_f (0 K) = -0.706 eV/atom

---

Entry 4:
Nd2Zn4Ga3Sn | PBE | relaxed

Geometry as CIF:
```
data_Nd2Zn4Ga3Sn
_chemical_formula_sum 'Nd2 Zn4 Ga3 Sn1'
_space_group_name_H-M_alt 'P -4 m 2'
_space_group_IT_number 115
_cell_length_a 4.317
_cell_length_b 4.317
_cell_length_c 10.850
_cell_angle_alpha 90.00
_cell_angle_beta 90.00
_cell_angle_gamma 90.00
loop_
_space_group_symop_operation_xyz
'x,y,z'
'y,-x,-z'
'-x,-y,z'
'-y,x,-z'
'-x,y,z'
'-y,-x,-z'
'x,-y,z'
'y,x,-z'
loop_
_atom_site_label
_atom_site_fract_x
_atom_site_fract_y
_atom_site_fract_z
_atom_site_occupancy
Nd1 0.000 0.500 0.240 1
Zn1 0.000 0.000 0.000 1
Zn2 0.000 0.500 0.649 1
Zn3 0.500 0.500 0.000 1
Ga1 0.000 0.500 0.871 1
Ga2 0.500 0.500 0.500 1
Sn1 0.000 0.000 0.500 1
```

Values from the calculation:
density of states at the Fermi level = 0.182 states/eV per atom
electronic total energy = -32.11 eV per cell
ΔH_f (0 K) = -0.439 eV/atom

---

Entry 5:
SrNdGa4 | PBE | relaxed

Geometry as CIF:
```
data_SrNdGa4
_chemical_formula_sum 'Sr4 Nd4 Ga16'
_space_group_name_H-M_alt 'F -4 3 m'
_space_group_IT_number 216
_space_group_name_Hall 'F -4 2 3'
_cell_length_a 8.076
_cell_length_b 8.076
_cell_length_c 8.076
_cell_angle_alpha 90.00
_cell_angle_beta 90.00
_cell_angle_gamma 90.00
loop_
_atom_site_label
_atom_site_fract_x
_atom_site_fract_y
_atom_site_fract_z
_atom_site_occupancy
Sr1 0.000 0.000 0.000 1
Nd1 0.250 0.250 0.750 1
Ga1 0.124 0.124 0.376 1
```

Values from the calculation:
density of states at the Fermi level = 0.391 states/eV per atom
electronic total energy = -85.33 eV per cell
ΔH_f (0 K) = -0.463 eV/atom

---

Entry 6:
SrNd2Ga6 | PBE | relaxed

Geometry as CIF:
```
data_SrNd2Ga6
_chemical_formula_sum 'Sr1 Nd2 Ga6'
_space_group_name_H-M_alt 'P 6/m m m'
_space_group_IT_number 191
_space_group_name_Hall '-P 6 2'
_cell_length_a 7.4641
_cell_length_b 7.4641
_cell_length_c 4.4227
_cell_angle_alpha 90.00
_cell_angle_beta 90.00
_cell_angle_gamma 120.00
loop_
_atom_site_label
_atom_site_fract_x
_atom_site_fract_y
_atom_site_fract_z
_atom_site_occupancy
Sr1 0.0000 0.0000 0.0000 1
Nd1 0.3333 0.6667 0.0000 1
Ga1 0.0000 0.3363 0.5000 1
```

Values from the calculation:
density of states at the Fermi level = 0.437 states/eV per atom
electronic total energy = -34.86 eV per cell
ΔH_f (0 K) = -0.609 eV/atom

---

Entry 7:
SrNd4Ga4 | PBE | relaxed

Geometry as CIF:
```
data_SrNd4Ga4
_chemical_formula_sum 'Sr2 Nd8 Ga8'
_space_group_name_H-M_alt 'P 42/n'
_space_group_IT_number 86
_cell_length_a 9.603
_cell_length_b 9.603
_cell_length_c 6.158
_cell_angle_alpha 90.00
_cell_angle_beta 90.00
_cell_angle_gamma 90.00
loop_
_space_group_symop_operation_xyz
'x,y,z'
'-x,-y,-z'
'-y,x+1/2,z+1/2'
'y,-x+1/2,-z+1/2'
'-x+1/2,-y+1/2,z'
'x+1/2,y+1/2,-z'
'y+1/2,-x,z+1/2'
'-y+1/2,x,-z+1/2'
loop_
_atom_site_label
_atom_site_fract_x
_atom_site_fract_y
_atom_site_fract_z
_atom_site_occupancy
Sr1 0.250 0.250 0.250 1
Nd1 0.082 0.654 0.125 1
Ga1 0.031 0.602 0.623 1
```

Values from the calculation:
density of states at the Fermi level = 0.991 states/eV per atom
electronic total energy = -71.65 eV per cell
ΔH_f (0 K) = -0.329 eV/atom

---

Entry 8:
SrNdGa4 | PBE | relaxed

Geometry as CIF:
```
data_SrNdGa4
_chemical_formula_sum 'Sr2 Nd2 Ga8'
_space_group_name_H-M_alt 'I -4 m 2'
_space_group_IT_number 119
_space_group_name_Hall 'I -4 -2'
_cell_length_a 4.349
_cell_length_b 4.349
_cell_length_c 15.266
_cell_angle_alpha 90.00
_cell_angle_beta 90.00
_cell_angle_gamma 90.00
loop_
_atom_site_label
_atom_site_fract_x
_atom_site_fract_y
_atom_site_fract_z
_atom_site_occupancy
Sr1 0.000 0.000 0.000 1
Nd1 0.000 0.500 0.750 1
Ga1 0.000 0.000 0.415 1
Ga2 0.000 0.500 0.169 1
```

Values from the calculation:
density of states at the Fermi level = 0.711 states/eV per atom
electronic total energy = -43.71 eV per cell
ΔH_f (0 K) = -0.550 eV/atom

---

Entry 9:
Sr2NdGa6 | PBE | relaxed

Geometry as CIF:
```
data_Sr2NdGa6
_chemical_formula_sum 'Sr4 Nd2 Ga12'
_space_group_name_H-M_alt 'I m m m'
_space_group_IT_number 71
_space_group_name_Hall '-I 2 2'
_cell_length_a 3.509
_cell_length_b 9.941
_cell_length_c 12.995
_cell_angle_alpha 90.00
_cell_angle_beta 90.00
_cell_angle_gamma 90.00
loop_
_atom_site_label
_atom_site_fract_x
_atom_site_fract_y
_atom_site_fract_z
_atom_site_occupancy
Sr1 0.000 0.000 0.136 1
Nd1 0.000 0.500 0.000 1
Ga1 0.000 0.195 0.321 1
Ga2 0.000 0.290 0.500 1
```

Values from the calculation:
density of states at the Fermi level = 0.536 states/eV per atom
electronic total energy = -57.48 eV per cell
ΔH_f (0 K) = -0.272 eV/atom

---

Entry 10:
Sr2NdGa4 | PBE | relaxed

Geometry as CIF:
```
data_Sr2NdGa4
_chemical_formula_sum 'Sr4 Nd2 Ga8'
_space_group_name_H-M_alt 'I m m m'
_space_group_IT_number 71
_space_group_name_Hall '-I 2 2'
_cell_length_a 4.343
_cell_length_b 4.452
_cell_length_c 19.961
_cell_angle_alpha 90.00
_cell_angle_beta 90.00
_cell_angle_gamma 90.00
loop_
_atom_site_label
_atom_site_fract_x
_atom_site_fract_y
_atom_site_fract_z
_atom_site_occupancy
Sr1 0.000 0.000 0.183 1
Nd1 0.000 0.500 0.500 1
Ga1 0.000 0.000 0.370 1
Ga2 0.000 0.500 0.062 1
```

Values from the calculation:
density of states at the Fermi level = 0.789 states/eV per atom
electronic total energy = -47.65 eV per cell
ΔH_f (0 K) = -0.513 eV/atom

---

Entry 11:
Sr2NdGaTe5 | PBE | relaxed

Geometry as CIF:
```
data_Sr2NdGaTe5
_chemical_formula_sum 'Sr8 Nd4 Ga4 Te20'
_space_group_name_H-M_alt 'C m c 21'
_space_group_IT_number 36
_cell_length_a 4.437
_cell_length_b 20.437
_cell_length_c 13.771
_cell_angle_alpha 90.00
_cell_angle_beta 90.00
_cell_angle_gamma 90.00
loop_
_space_group_symop_operation_xyz
'x,y,z'
'-x,-y,z+1/2'
'-x,y,z'
'x,-y,z+1/2'
'x+1/2,y+1/2,z'
'-x+1/2,-y+1/2,z+1/2'
'-x+1/2,y+1/2,z'
'x+1/2,-y+1/2,z+1/2'
loop_
_atom_site_label
_atom_site_fract_x
_atom_site_fract_y
_atom_site_fract_z
_atom_site_occupancy
Sr1 0.000 0.118 0.000 1
Sr2 0.000 0.121 0.642 1
Nd1 0.000 0.206 0.342 1
Ga1 0.000 0.439 0.752 1
Te1 0.000 0.044 0.366 1
Te2 0.000 0.294 0.001 1
Te3 0.000 0.316 0.676 1
Te4 0.000 0.358 0.323 1
Te5 0.000 0.499 0.086 1
```

Values from the calculation:
electronic total energy = -152.50 eV per cell
uncorrected formation energy = -1.251 eV per atom

---

Entry 12:
SrNdTlGa | PBE | relaxed

Geometry as CIF:
```
data_SrNdTlGa
_chemical_formula_sum 'Sr4 Nd4 Tl4 Ga4'
_space_group_name_H-M_alt 'F -4 3 m'
_space_group_IT_number 216
_space_group_name_Hall 'F -4 2 3'
_cell_length_a 7.800
_cell_length_b 7.800
_cell_length_c 7.800
_cell_angle_alpha 90.00
_cell_angle_beta 90.00
_cell_angle_gamma 90.00
loop_
_atom_site_label
_atom_site_fract_x
_atom_site_fract_y
_atom_site_fract_z
_atom_site_occupancy
Sr1 0.000 0.000 0.000 1
Nd1 0.000 0.000 0.500 1
Tl1 0.250 0.250 0.250 1
Ga1 0.250 0.250 0.750 1
```

Values from the calculation:
density of states at the Fermi level = 0.892 states/eV per atom
electronic total energy = -53.08 eV per cell
ΔH_f (0 K) = -0.357 eV/atom

---

| no. | density (g/cm3) |
| --- | --- |
| 1 | 5.96 |
| 2 | 7.71 |
| 3 | 7.46 |
| 4 | 7.21 |
| 5 | 6.44 |
| 6 | 6.18 |
| 7 | 5.52 |
| 8 | 5.87 |
| 9 | 5.41 |
| 10 | 5.15 |
| 11 | 5.46 |
| 12 | 7.08 |